Entry from the Alexandria database: crystalline CaLaFeNiO6 at its relaxed geometry (PBE with a Hubbard U).

Results
The density of states at the Fermi level is 2.82 states/eV/cell. The value obtained for the total energy is -130.527 eV/cell. As for the space-group type: Pc, No. 7. Its size of the total moment is 10.0 μB/cell.

Cell: 5.4666 5.4576 7.7211 Å, 89.95 90.01 90.00°
Element x y z (fractional)
Ni (0.4992, 0.9997, 0.4996)
Ni (0.0008, 0.4998, 0.9996)
O (0.7784, 0.7827, 0.0358)
O (0.2829, 0.7104, 0.4595)
O (0.9844, 0.4343, 0.2529)
O (0.7174, 0.2768, 0.9650)
O (0.4887, 0.0754, 0.2469)
O (0.7213, 0.2830, 0.5357)
O (0.0116, 0.5754, 0.7471)
O (0.2108, 0.2173, 0.5397)
O (0.5153, 0.9342, 0.7530)
O (0.2173, 0.2107, 0.9594)
O (0.2890, 0.7175, 0.0400)
O (0.7830, 0.7771, 0.4653)
Fe (0.5005, 0.9998, 0.0005)
Fe (0.9995, 0.4998, 0.5005)
La (0.4704, 0.4947, 0.7503)
La (0.0296, 0.9946, 0.2503)
Ca (0.5408, 0.5084, 0.2496)
Ca (0.9592, 0.0083, 0.7494)